No. 1
VASP calculation (PBE) on an optimized crystal structure of Ba8PdAu2.

abc: 11.413 11.413 7.852
angles: 100.41 100.41 28.80
Element x y z (fractional)
1 Ba 0.047 0.047 0.312
2 Ba 0.214 0.214 0.840
3 Ba 0.334 0.334 0.539
4 Ba 0.417 0.417 0.107
5 Ba 0.583 0.583 0.893
6 Ba 0.666 0.666 0.461
7 Ba 0.786 0.786 0.160
8 Ba 0.953 0.953 0.688
9 Pd 0.500 0.500 0.500
10 Au 0.201 0.201 0.251
11 Au 0.799 0.799 0.749

E_tot ... -2.785 eV/atom
Space-group type ... C2/m
Distance to the lowest polymorph of the same formula ... 6.4 kJ per mole of atoms
Energy of formation ... -319 meV per atom

No. 2
VASP calculation (PBE) on an optimized crystal structure of RbVSeBr2.

abc: 6.159 6.159 6.099
angles: 90.00 90.00 90.00
Element x y z (fractional)
1 Rb 0.000 0.000 0.000
2 V 0.500 0.500 0.500
3 Se 0.000 0.000 0.500
4 Br 0.000 0.500 0.000
5 Br 0.500 0.000 0.000

E_tot ... -2.748 eV/atom
Space-group type ... P4/mmm
Distance to the lowest polymorph of the same formula ... 153.9 kJ per mole of atoms
Formation energy (no corrections) ... 0.64 eV per atom

No. 3
VASP calculation (PBE) on an optimized crystal structure of NaMg2Cd2In2.

abc: 8.554 8.554 8.554
angles: 34.08 34.08 34.08
Element x y z (fractional)
1 Na 0.000 0.000 0.000
2 Mg 0.136 0.136 0.136
3 Mg 0.864 0.864 0.864
4 Cd 0.431 0.431 0.431
5 Cd 0.569 0.569 0.569
6 In 0.264 0.264 0.264
7 In 0.736 0.736 0.736

E_tot ... -1.737 eV/atom
Space-group type ... R-3m
Energy of formation ... -49 meV per atom

No. 4
VASP calculation (PBE) on an optimized crystal structure of Rb3Dy2ErTe6.

abc: 7.821 7.821 8.938
angles: 98.39 98.39 120.00
Element x y z (fractional)
1 Rb 0.000 0.000 0.000
2 Rb 0.333 0.667 0.000
3 Rb 0.667 0.333 0.000
4 Dy 0.167 0.833 0.500
5 Dy 0.833 0.167 0.500
6 Er 0.500 0.500 0.500
7 Te 0.102 0.434 0.301
8 Te 0.235 0.235 0.699
9 Te 0.434 0.102 0.301
10 Te 0.566 0.898 0.699
11 Te 0.765 0.765 0.301
12 Te 0.898 0.566 0.699

E_tot ... -4.339 eV/atom
Space-group type ... C2/m
Formation energy (no corrections) ... -1.38 eV per atom

No. 5
VASP calculation (PBE) on an optimized crystal structure of NdZn2Au4.

abc: 5.659 5.659 5.367
angles: 117.82 117.82 76.72
Element x y z (fractional)
1 Nd 0.000 0.000 0.000
2 Zn 0.500 0.500 0.249
3 Zn 0.500 0.500 0.751
4 Au 0.003 0.603 0.303
5 Au 0.397 0.997 0.697
6 Au 0.603 0.003 0.303
7 Au 0.997 0.397 0.697

E_tot ... -3.432 eV/atom
Space-group type ... C2/m
Energy of formation ... -514 meV per atom